[1]
Here is a relaxed BaLuTlGa crystal from Alexandria via LeMat-Bulk. Energies are from PBE.

Cell and atoms, written as CIF:
```
data_BaLuTlGa
_chemical_formula_sum 'Ba1 Lu1 Tl1 Ga1'
_cell_length_a 5.546
_cell_length_b 5.546
_cell_length_c 5.546
_cell_angle_alpha 60.00
_cell_angle_beta 60.00
_cell_angle_gamma 60.00
_symmetry_space_group_name_H-M 'P 1'
_symmetry_Int_Tables_number 1
_symmetry_space_group_name_Hall 'P 1'
loop_
_atom_site_label
_atom_site_type_symbol
_atom_site_fract_x
_atom_site_fract_y
_atom_site_fract_z
Ba1 Ba 0.500 0.500 0.500
Tl1 Tl 0.750 0.750 0.750
Lu1 Lu 0.000 0.000 0.000
Ga1 Ga 0.250 0.250 0.250
```

***

[2]
Here is a relaxed Rb2CdPAu crystal from Alexandria via LeMat-Bulk. Energies are from PBE.

Cell and atoms, written as CIF:
```
data_Rb2CdPAu
_chemical_formula_sum 'Rb2 Cd1 P1 Au1'
_cell_length_a 6.705
_cell_length_b 6.705
_cell_length_c 4.587
_cell_angle_alpha 90.00
_cell_angle_beta 90.00
_cell_angle_gamma 90.00
_symmetry_space_group_name_H-M 'P 1'
_symmetry_Int_Tables_number 1
_symmetry_space_group_name_Hall 'P 1'
loop_
_atom_site_label
_atom_site_type_symbol
_atom_site_fract_x
_atom_site_fract_y
_atom_site_fract_z
Au1 Au 0.000 0.000 0.500
Rb1 Rb 0.000 0.500 0.000
Rb2 Rb 0.500 0.000 0.000
Cd1 Cd 0.500 0.500 0.500
P1 P 0.000 0.000 0.000
```

***

| no. | total DFT energy (no corrections) (eV/atom) | energy of formation (eV per formula unit) |
| --- | --- | --- |
| 1 | -3.18 | -0.9 |
| 2 | -2.44 | -0.6 |